First-principles (GGA+U) data for CaV2O4 after structural relaxation, as listed in the Alexandria database.

Geometry as extended XYZ:
```
28
Lattice="3.096 0.000 0.000 0.000 9.304 0.000 0.000 0.000 10.819" Properties=species:S:1:pos:R:3 pbc="T T T"
O 0.774 0.222 3.049
O 0.774 5.746 10.556
Ca 2.322 6.934 9.182
O 0.774 1.944 9.030
O 0.774 3.906 6.198
V 0.774 4.024 4.188
Ca 0.774 7.023 3.772
Ca 0.774 2.370 1.638
V 2.322 5.280 6.632
V 2.322 5.402 1.147
V 0.774 8.555 6.556
O 2.322 3.558 0.264
V 2.322 0.628 9.597
O 2.322 5.398 4.621
V 0.774 8.676 1.222
Ca 2.322 2.282 7.047
O 0.774 8.559 10.031
O 2.322 0.746 0.788
O 2.322 9.082 7.770
O 0.774 4.874 2.361
O 2.322 4.430 8.459
V 0.774 3.902 9.672
O 0.774 6.596 7.199
O 2.322 2.708 3.621
O 2.322 7.360 1.789
V 2.322 0.750 4.263
O 0.774 1.094 5.673
O 2.322 8.210 5.146
```

Calculated values
**Size of the total moment**: 4.00 μB/f.u.
**Electronic total energy**: -213.55 eV for the cell shown